Material: Ba6Mg2Tl
Method: DFT, PBE
State: optimized geometry

Summary:
ΔH_f (0 K): -0.13 eV/atom
Magnetization: 0.00 μB per formula unit
Final energy: -18.301 eV for the cell shown

Unit cell a=6.190 b=8.258 c=9.779 alpha=83.19 beta=71.55 gamma=67.99
Fractional positions:
Ba (0.973, 0.227, 0.826)
Ba (0.299, 0.227, 0.174)
Ba (0.701, 0.773, 0.826)
Ba (0.368, 0.765, 0.500)
Ba (0.632, 0.235, 0.500)
Ba (0.027, 0.773, 0.174)
Mg (0.327, 0.500, 0.846)
Mg (0.673, 0.500, 0.154)
Tl (0.000, 0.500, 0.500)